KCu2Mo: relaxed, PBEsol.

Lattice parameters (Å, degrees): 2.6715 2.6715 9.2215 90.00 90.00 90.00
Atoms (fractional coordinates):
K 0.0000 0.0000 0.0000
Cu 0.0000 0.0000 0.5360
Cu 0.5000 0.5000 0.7075
Mo 0.5000 0.5000 0.3304

ΔE_f ... 0.71 eV per atom
Energy above the lowest structure with this stoichiometry ... 0.000 eV/atom
Volume ... 65.8 Å³ per cell
Symmetry ... P4mm, No. 99
Density of states at the Fermi level ... 3.1 states/eV per cell